First-principles (PBE-GGA) data for crystalline LaSmErTm2 at its relaxed geometry, as listed in Alexandria via LeMat-Bulk.

CIF file:
```
data_LaSmErTm2
_symmetry_space_group_name_H-M 'C m c m'
_symmetry_Int_Tables_number 63
_symmetry_space_group_name_Hall '-C 2c 2'
_cell_length_a 8.399
_cell_length_b 11.473
_cell_length_c 7.210
_cell_angle_alpha 90.00
_cell_angle_beta 90.00
_cell_angle_gamma 90.00
loop_
_atom_site_label
_atom_site_fract_x
_atom_site_fract_y
_atom_site_fract_z
La1 0.000 0.234 0.250
Sm1 0.000 0.500 0.250
Er1 0.000 0.216 0.750
Tm1 0.187 0.000 0.000
```

Computed properties:
Energy relative to the elements, eV per formula unit: 1.81
Spin magnetization, μB/f.u.: 0.000